The following is a DFT calculation (GGA-PBE) of a geometry-optimized HfMg2RhAu structure.

Structure (CIF):
```
data_HfMg2RhAu
_cell_length_a 5.553
_cell_length_b 4.610
_cell_length_c 5.553
_cell_angle_alpha 90.00
_cell_angle_beta 90.00
_cell_angle_gamma 90.00
_symmetry_space_group_name_H-M 'P 1'
_symmetry_Int_Tables_number 1
loop_
_symmetry_equiv_pos_as_xyz
'x,y,z'
loop_
_atom_site_label
_atom_site_type_symbol
_atom_site_fract_x
_atom_site_fract_y
_atom_site_fract_z
_atom_site_occupancy
Hf1 Hf 0.000 0.000 0.000 1
Mg1 Mg 0.000 0.000 0.500 1
Mg2 Mg 0.500 0.000 0.000 1
Au1 Au 0.500 0.500 0.500 1
Rh1 Rh 0.000 0.500 0.000 1
```

Values from the calculation:
The formation energy is 1013 meV/atom.